Entry from Alexandria via LeMat-Bulk: a relaxed structure of Pm2GeAs (PBE).

a = 4.3400 Å, b = 23.3377 Å, c = 4.1290 Å
α = 90.00°, β = 90.00°, γ = 90.00°
With the nearest neighbours (Å) after each atom.
Sites, in units of the cell vectors:
1 Pm 0.0000 0.0652 0.2500  1 As 2.87, 4 Ge 3.05
2 Pm 0.0000 0.3135 0.2500  5 As 2.93-3.00
3 Pm 0.0000 0.6865 0.7500  5 As 2.93-3.00
4 Pm 0.0000 0.9348 0.7500  1 As 2.87, 4 Ge 3.05
5 Pm 0.5000 0.1865 0.7500  5 As 2.93-3.00
6 Pm 0.5000 0.4348 0.7500  1 As 2.87, 4 Ge 3.05
7 Pm 0.5000 0.5652 0.2500  1 As 2.87, 4 Ge 3.05
8 Pm 0.5000 0.8135 0.2500  5 As 2.93-3.00
9 Ge 0.0000 0.4602 0.2500  2 Ge 2.78, 4 Pm 3.05
10 Ge 0.0000 0.5398 0.7500  2 Ge 2.78, 4 Pm 3.05
11 Ge 0.5000 0.0398 0.7500  2 Ge 2.78, 4 Pm 3.05
12 Ge 0.5000 0.9602 0.2500  2 Ge 2.78, 4 Pm 3.05
13 As 0.0000 0.1880 0.2500  6 Pm 2.87-3.00
14 As 0.0000 0.8120 0.7500  6 Pm 2.87-3.00
15 As 0.5000 0.3120 0.7500  6 Pm 2.87-3.00
16 As 0.5000 0.6880 0.2500  6 Pm 2.87-3.00

Computed properties:
The total magnetization comes out at 0.000 μB/f.u. The space group is Cmcm. Its energy relative to the elements is -1187 meV/atom. The distance to the lowest polymorph of the same formula is 0 meV per atom.